Record 1
Here is crystalline Ca2GdPb at its relaxed geometry from Alexandria via LeMat-Bulk. Energies are from PBE.

Lattice parameters (Å, degrees): 4.9433 4.9433 5.1801 90.00 90.00 90.00
With the nearest neighbours (Å) after each atom.
Space group P4/mmm (No. 123)
Asymmetric unit:
Ca: 0.0000 0.5000 0.0000 (multiplicity 2)  4 Ca 3.50, 4 Gd 3.58, 4 Pb 3.58
Gd: 0.0000 0.0000 0.5000 (multiplicity 1)  4 Pb 3.50, 8 Ca 3.58
Pb: 0.5000 0.5000 0.5000 (multiplicity 1)  4 Gd 3.50, 8 Ca 3.58

Values from the calculation:
Raw total energy: -22.99 eV/cell
Energy relative to the elements: -298.8 meV per atom

Record 2
Here is crystalline LiAcLaPt at its relaxed geometry from Alexandria via LeMat-Bulk. Energies are from PBE.

Lattice parameters (Å, degrees): 7.5549 7.5549 7.5549 90.00 90.00 90.00
With the nearest neighbours (Å) after each atom.
Space group F-43m (No. 216)
Asymmetric unit:
Li: 0.0000 0.0000 0.0000 (multiplicity 4)  4 Ac 3.27, 4 La 3.27
Ac: 0.2500 0.2500 0.7500 (multiplicity 4)  4 Li 3.27, 4 Pt 3.27
La: 0.2500 0.2500 0.2500 (multiplicity 4)  4 Li 3.27, 4 Pt 3.27
Pt: 0.0000 0.0000 0.5000 (multiplicity 4)  4 Ac 3.27, 4 La 3.27

Values from the calculation:
Raw total energy: -75.72 eV/cell
Energy relative to the elements: -484.9 meV per atom

Record 3
Here is crystalline K3YPu2Se6 at its relaxed geometry from Alexandria via LeMat-Bulk. Energies are from PBE.

Lattice parameters (Å, degrees): 7.3802 12.7839 8.0408 90.00 107.81 90.00
With the nearest neighbours (Å) after each atom.
Space group C2/m (No. 12)
Asymmetric unit:
K: 0.0000 0.0000 0.0000 (multiplicity 2)  6 Se 3.33-3.35
K: 0.0000 0.3332 0.0000 (multiplicity 4)  6 Se 3.33-3.35
Y: 0.0000 0.5000 0.5000 (multiplicity 2)  6 Se 2.91
Pu: 0.0000 0.1667 0.5000 (multiplicity 4)  6 Se 2.93
Se: 0.2342 0.3342 0.7054 (multiplicity 8)  1 Y 2.91, 2 Pu 2.93
Se: 0.2369 0.0000 0.7054 (multiplicity 4)  1 Y 2.91, 2 Pu 2.93

Values from the calculation:
Raw total energy: -156.12 eV/cell
Raw formation energy: -1.561 eV/atom

Record 4
Here is crystalline Rb2Si2B at its relaxed geometry from Alexandria via LeMat-Bulk. Energies are from PBE.

Lattice parameters (Å, degrees): 5.8218 5.8218 12.0242 90.00 90.00 90.00
With the nearest neighbours (Å) after each atom.
Space group I4/mmm (No. 139)
Asymmetric unit:
Rb: 0.0000 0.5000 0.2500 (multiplicity 4)  4 Si 3.50
Si: 0.0000 0.0000 0.0885 (multiplicity 4)  1 Si 2.13
B: 0.0000 0.0000 0.5000 (multiplicity 2)  8 Rb 4.18, 8 Si 4.25

Values from the calculation:
Raw total energy: -25.82 eV/cell
E above lowest polymorph: 572 meV/atom
Raw formation energy: 1.310 eV/atom

Record 5
Here is crystalline Cr2Ir3Ru2 at its relaxed geometry from Alexandria via LeMat-Bulk. Energies are from PBE.

Lattice parameters (Å, degrees): 9.6032 4.3337 4.7165 90.00 99.75 90.00
With the nearest neighbours (Å) after each atom.
Space group C2/m (No. 12)
Asymmetric unit:
Cr: 0.0623 0.0000 0.3355 (multiplicity 4)  1 Cr 2.11
Ir: 0.0000 0.5000 0.0000 (multiplicity 2)  4 Cr 2.69, 4 Ir 2.79-2.87, 6 Ru 2.90-2.97
Ir: 0.1654 0.5000 0.5478 (multiplicity 4)  3 Cr 2.52-2.58, 4 Ru 2.71-2.75, 3 Ir 2.79
Ru: 0.1861 0.0000 0.8992 (multiplicity 4)  3 Cr 2.45-2.72, 2 Ru 2.59, 3 Ir 2.71-2.74

Values from the calculation:
Raw total energy: -127.28 eV/cell
Energy relative to the elements: 105.8 meV per atom

Record 6
Here is crystalline K6RbPb at its relaxed geometry from Alexandria via LeMat-Bulk. Energies are from PBE.

Lattice parameters (Å, degrees): 13.9935 6.6018 11.7522 90.00 114.92 90.00
With the nearest neighbours (Å) after each atom.
Space group C2/m (No. 12)
Asymmetric unit:
K: 0.0212 0.0000 0.1851 (multiplicity 4)  2 Pb 3.89, 5 K 4.14-4.26
K: 0.2096 0.5000 0.8944 (multiplicity 4)  1 Pb 3.64, 2 K 4.00
K: 0.2295 0.5000 0.3237 (multiplicity 4)  1 Pb 3.81, 2 K 4.25
Rb: 0.0000 0.5000 0.5000 (multiplicity 2)  8 K 4.32-4.79
Pb: 0.0000 0.5000 0.0000 (multiplicity 2)  8 K 3.64-3.89

Values from the calculation:
Raw total energy: -22.88 eV/cell
Energy relative to the elements: -22.2 meV per atom

Record 7
Here is crystalline ErLuZnAu at its relaxed geometry from Alexandria via LeMat-Bulk. Energies are from PBE.

Lattice parameters (Å, degrees): 7.0711 7.0711 7.0711 90.00 90.00 90.00
With the nearest neighbours (Å) after each atom.
Space group F-43m (No. 216)
Asymmetric unit:
Er: 0.0000 0.0000 0.0000 (multiplicity 4)  4 Zn 3.06, 4 Au 3.06
Lu: 0.0000 0.0000 0.5000 (multiplicity 4)  4 Zn 3.06, 4 Au 3.06
Zn: 0.2500 0.2500 0.2500 (multiplicity 4)  4 Er 3.06, 4 Lu 3.06
Au: 0.2500 0.2500 0.7500 (multiplicity 4)  4 Er 3.06, 4 Lu 3.06

Values from the calculation:
Raw total energy: -64.44 eV/cell
Energy relative to the elements: -618.7 meV per atom

Record 8
Here is crystalline ScZnHg at its relaxed geometry from Alexandria via LeMat-Bulk. Energies are from PBE.

Lattice parameters (Å, degrees): 3.2222 4.3015 8.6725 90.00 90.00 90.00
With the nearest neighbours (Å) after each atom.
Space group Imm2 (No. 44)
Asymmetric unit:
Sc: 0.0000 0.0000 0.0000 (multiplicity 2)  5 Hg 2.87-3.06, 5 Zn 2.95-3.03
Zn: 0.0000 0.0000 0.6603 (multiplicity 2)  5 Hg 2.85-3.07, 5 Sc 2.95-3.03
Hg: 0.0000 0.0000 0.3313 (multiplicity 2)  5 Zn 2.85-3.07, 5 Sc 2.87-3.06

Values from the calculation:
Raw total energy: -16.76 eV/cell
Energy relative to the elements: -157.2 meV per atom